Material: HoTl2TeSe4
Method: DFT, PBE-GGA
State: relaxed

Results
N(E_F): 0.35 states/eV/atom
energy relative to the elements, uncorrected: -707 meV/atom

```
8
Lattice="7.6314 0.0000 0.0000 0.0000 4.1440 0.0000 -2.6496 0.0000 7.5552" Properties=species:S:1:pos:R:3 pbc="T T T"
Ho 0.0000 0.0000 0.0000
Tl -1.3248 2.0720 3.7776
Tl 2.4909 0.0000 3.7776
Te 3.8157 2.0720 0.0000
Se 0.9973 2.0720 1.7028
Se -0.0984 0.0000 6.0641
Se 5.0801 0.0000 1.4911
Se 3.9845 2.0720 5.8524
```

---

Material: HfSb2Rh2
Method: DFT, PBE-GGA
State: relaxed

Results
N(E_F): 0.72 states/eV/atom
energy relative to the elements, uncorrected: -318 meV/atom

```
10
Lattice="7.5268 0.0000 0.0000 0.0000 7.5268 0.0000 0.0000 0.0000 3.3613" Properties=species:S:1:pos:R:3 pbc="T T T"
Hf 0.0000 0.0000 0.0000
Hf 3.7634 3.7634 0.0000
Sb 1.2723 2.4911 1.6807
Sb 2.4911 6.2545 1.6807
Sb 5.0357 1.2723 1.6807
Sb 6.2545 5.0357 1.6807
Rh 0.9850 4.7484 0.0000
Rh 2.7784 0.9850 0.0000
Rh 4.7484 6.5418 0.0000
Rh 6.5418 2.7784 0.0000
```

---

Material: UMn2Si
Method: DFT, PBE-GGA
State: relaxed

Results
N(E_F): 0.51 states/eV/atom
energy relative to the elements, uncorrected: -220 meV/atom

```
4
Lattice="4.1075 0.0000 0.0000 0.0000 4.1075 0.0000 0.0000 0.0000 3.3122" Properties=species:S:1:pos:R:3 pbc="T T T"
U 0.0000 0.0000 0.0000
Mn 0.0000 2.0537 1.6561
Mn 2.0537 0.0000 1.6561
Si 2.0537 2.0537 0.0000
```

---

Material: TiInCu
Method: DFT, PBE-GGA
State: relaxed

Results
N(E_F): 0.39 states/eV/atom
formation energy: -15 meV/atom

```
6
Lattice="5.2014 0.0000 0.0000 0.0000 3.0121 0.0000 -0.1539 0.0000 6.7421" Properties=species:S:1:pos:R:3 pbc="T T T"
Ti 0.3247 0.7530 2.2531
Ti 4.7228 2.2591 4.4890
In 2.0791 0.7530 4.7757
In 2.9684 2.2591 1.9664
Cu 1.0164 2.2591 0.0866
Cu 4.0311 0.7530 6.6555
```

---

Material: AcNd2OsN4
Method: DFT, PBE-GGA
State: relaxed

Results
N(E_F): 0.40 states/eV/atom
energy relative to the elements, uncorrected: -779 meV/atom

```
16
Lattice="1.7898 -6.1424 0.0000 1.7898 6.1424 0.0000 0.0000 0.0000 12.1887" Properties=species:S:1:pos:R:3 pbc="T T T"
Ac 1.7898 4.7974 9.1415
Ac 1.7898 -4.7974 3.0472
Nd 1.7898 1.6223 6.6025
Nd 1.7898 1.6223 11.6806
Nd 1.7898 -1.6223 0.5081
Nd 1.7898 -1.6223 5.5862
Os 1.7898 4.2353 3.0472
Os 1.7898 -4.2353 9.1415
N 0.0000 0.0000 0.0000
N 0.0000 0.0000 6.0943
N 1.7898 2.8360 1.5991
N 1.7898 2.8360 4.4952
N 1.7898 0.9813 9.1415
N 1.7898 -0.9813 3.0472
N 1.7898 -2.8360 7.6935
N 1.7898 -2.8360 10.5896
```

---

Material: Pm3PrDy5
Method: DFT, PBE-GGA
State: relaxed

Results
ΔE to the lowest computed polymorph: 58 meV/atom
N(E_F): 1.43 states/eV/atom
formation energy: 310 meV/atom

```
18
Lattice="10.2531 -3.0526 0.0000 10.2531 3.0526 0.0000 -6.0913 0.0000 9.7671" Properties=species:S:1:pos:R:3 pbc="T T T"
Pm 0.0000 0.0000 0.0000
Pm -3.0456 0.0000 4.8835
Pm 0.6256 1.7099 9.4175
Pm 10.7437 1.7099 5.2332
Pm 3.6713 -1.7099 4.5339
Pm 13.7894 -1.7099 0.3496
Pr 8.7303 2.4103 2.4418
Pr 5.6847 -2.4103 7.3253
Dy 2.5494 1.7853 6.4712
Dy 5.1676 1.1326 3.5027
Dy 8.8199 1.7853 8.1795
Dy 5.6847 0.5444 7.3253
Dy 12.2930 1.1326 1.3808
Dy 2.1219 -1.1326 8.3863
Dy 8.7303 -0.5444 2.4418
Dy 5.5951 -1.7853 1.5876
Dy 9.2474 -1.1326 6.2644
Dy 11.8656 -1.7853 3.2959
```

---

Material: CsK2MgCd
Method: DFT, PBE-GGA
State: relaxed

Results
ΔE to the lowest computed polymorph: 44 meV/atom
N(E_F): 0.59 states/eV/atom
formation energy: 135 meV/atom

```
5
Lattice="7.1207 0.0000 0.0000 0.0000 7.1207 0.0000 0.0000 0.0000 5.6069" Properties=species:S:1:pos:R:3 pbc="T T T"
Cs 0.0000 0.0000 0.0000
K 0.0000 3.5604 2.8034
K 3.5604 0.0000 2.8034
Mg 3.5604 3.5604 2.8034
Cd 3.5604 3.5604 0.0000
```

---

Material: BPO
Method: DFT, PBE-GGA
State: relaxed

Results
ΔE to the lowest computed polymorph: 87 meV/atom
N(E_F): 0.17 states/eV/atom
energy relative to the elements, uncorrected: -994 meV/atom

```
6
Lattice="3.8689 -1.1960 0.0000 3.8689 1.1960 0.0000 -3.6373 0.0000 10.8056" Properties=species:S:1:pos:R:3 pbc="T T T"
B 0.5112 0.0000 0.6992
B 3.5893 0.0000 10.1064
P 1.2180 0.0000 6.0679
P 2.8826 0.0000 4.7377
O -0.7190 0.0000 9.5433
O 4.8195 0.0000 1.2624
```

---

Material: Cd2Ge2Pb
Method: DFT, PBE-GGA
State: relaxed

Results
ΔE to the lowest computed polymorph: 48 meV/atom
N(E_F): 0.37 states/eV/atom
formation energy: 196 meV/atom

```
5
Lattice="-2.0900 2.0900 6.9611 2.0900 -2.0900 6.9611 2.0900 2.0900 -6.9611" Properties=species:S:1:pos:R:3 pbc="T T T"
Cd 0.0000 0.0000 1.4657
Cd 0.0000 0.0000 12.4565
Ge 2.0900 0.0000 3.4805
Ge 0.0000 2.0900 3.4805
Pb 0.0000 0.0000 6.9611
```

---

Material: MnPRu2
Method: DFT, PBE-GGA
State: relaxed

Results
ΔE to the lowest computed polymorph: 189 meV/atom
N(E_F): 0.82 states/eV/atom
formation energy: -37 meV/atom

```
4
Lattice="-1.8239 1.8239 3.8690 1.8239 -1.8239 3.8690 1.8239 1.8239 -3.8690" Properties=species:S:1:pos:R:3 pbc="T T T"
Mn 0.0000 0.0000 0.0000
P 1.8239 0.0000 1.9345
Ru 0.0000 0.0000 3.8690
Ru 0.0000 1.8239 1.9345
```

---

Material: Pr14ScHg
Method: DFT, PBE-GGA
State: relaxed

Results
N(E_F): 1.09 states/eV/atom
formation energy: -23 meV/atom

```
16
Lattice="10.3770 0.0000 0.0000 0.0000 5.1296 5.1275 0.0000 -5.1296 5.1275" Properties=species:S:1:pos:R:3 pbc="T T T"
Pr 0.0000 0.0000 0.0000
Pr 0.0000 -2.4524 2.5016
Pr 0.0000 2.4524 2.5016
Pr 0.0000 0.0000 5.0493
Pr 2.4940 0.0000 7.6669
Pr 2.6887 -2.5726 5.0583
Pr 2.6887 2.5726 5.0583
Pr 2.8561 0.0000 2.5271
Pr 5.1885 -2.3290 7.5262
Pr 5.1885 2.3290 7.5262
Pr 7.5209 0.0000 2.5271
Pr 7.6883 -2.5726 5.0583
Pr 7.6883 2.5726 5.0583
Pr 7.8829 0.0000 7.6669
Sc 5.1885 0.0000 10.1568
Hg 5.1885 0.0000 5.0493
```

---

Material: Re2Ir
Method: DFT, PBE-GGA
State: relaxed

Results
ΔE to the lowest computed polymorph: 0 meV/atom
N(E_F): 0.73 states/eV/atom
formation energy: -193 meV/atom

```
6
Lattice="1.3781 -7.2523 0.0000 1.3781 7.2523 0.0000 0.0000 0.0000 4.4157" Properties=species:S:1:pos:R:3 pbc="T T T"
Re 1.3781 6.4591 3.3118
Re 1.3781 3.2260 1.1039
Re 1.3781 -3.2260 3.3118
Re 1.3781 -6.4591 1.1039
Ir 1.3781 1.5917 3.3118
Ir 1.3781 -1.5917 1.1039
```

---

Number 1: calculated total energy -4.01 eV per atom, magnetization 0.00 μB per atom. Number 2: calculated total energy -6.90 eV per atom, magnetization 0.00 μB per atom. Number 3: calculated total energy -8.98 eV per atom, magnetization 0.00 μB per atom. Number 4: calculated total energy -4.92 eV per atom, magnetization 0.00 μB per atom. Number 5: calculated total energy -8.05 eV per atom, magnetization 0.00 μB per atom. Number 6: calculated total energy -4.36 eV per atom, magnetization 0.00 μB per atom. Number 7: calculated total energy -0.98 eV per atom, magnetization 0.00 μB per atom. Number 8: calculated total energy -6.68 eV per atom, magnetization 0.00 μB per atom. Number 9: calculated total energy -2.76 eV per atom, magnetization 0.00 μB per atom. Number 10: calculated total energy -8.32 eV per atom, magnetization 0.54 μB per atom. Number 11: calculated total energy -4.62 eV per atom, magnetization 0.00 μB per atom. Number 12: calculated total energy -11.45 eV per atom, magnetization 0.00 μB per atom.